1.
This record from the Alexandria database describes Li2Mg2Pb after structural relaxation. The functional is PBE-GGA.

The structure in CIF format:
```
data_Li2Mg2Pb
_space_group_name_H-M_alt 'I m m a'
_space_group_IT_number 74
_space_group_name_Hall '-I 2b 2'
_cell_length_a 3.5406
_cell_length_b 5.0216
_cell_length_c 24.8275
_cell_angle_alpha 90.00
_cell_angle_beta 90.00
_cell_angle_gamma 90.00
loop_
_atom_site_label
_atom_site_fract_x
_atom_site_fract_y
_atom_site_fract_z
Li1 0.0000 0.2500 0.0067
Li2 0.0000 0.2500 0.1121
Mg1 0.0000 0.2500 0.2979
Mg2 0.0000 0.2500 0.8037
Pb1 0.0000 0.2500 0.5904
```

Output
energy relative to the lowest polymorph listed for this composition: 0.0050 eV/atom
DFT total energy: -0.0814 Ha/atom
density of states at the Fermi level: 4.5 states/eV per cell

---

2.
This record from the Alexandria database describes LaMg2Sc after structural relaxation. The functional is PBE-GGA.

The structure in CIF format:
```
data_LaMg2Sc
_space_group_name_H-M_alt 'C m m m'
_space_group_IT_number 65
_space_group_name_Hall '-C 2 2'
_cell_length_a 6.8292
_cell_length_b 9.4930
_cell_length_c 3.3168
_cell_angle_alpha 90.00
_cell_angle_beta 90.00
_cell_angle_gamma 90.00
loop_
_atom_site_label
_atom_site_fract_x
_atom_site_fract_y
_atom_site_fract_z
La1 0.0000 0.0000 0.0000
Mg1 0.2500 0.2500 0.5000
Sc1 0.0000 0.5000 0.0000
```

Output
DFT total energy: -0.1326 Ha/atom
density of states at the Fermi level: 11.6 states/eV per cell

---

3.
This record from the Alexandria database describes La2Sm4Hg after structural relaxation. The functional is PBE-GGA.

The structure in CIF format:
```
data_La2Sm4Hg
_space_group_name_H-M_alt 'C 1 2/m 1'
_space_group_IT_number 12
_cell_length_a 17.2080
_cell_length_b 3.5876
_cell_length_c 8.5972
_cell_angle_alpha 90.00
_cell_angle_beta 117.94
_cell_angle_gamma 90.00
loop_
_space_group_symop_operation_xyz
'x,y,z'
'-x,-y,-z'
'-x,y,-z'
'x,-y,z'
'x+1/2,y+1/2,z'
'-x+1/2,-y+1/2,-z'
'-x+1/2,y+1/2,-z'
'x+1/2,-y+1/2,z'
loop_
_atom_site_label
_atom_site_fract_x
_atom_site_fract_y
_atom_site_fract_z
La1 0.2174 0.0000 0.1437
Sm1 0.0806 0.0000 0.7015
Sm2 0.1208 0.5000 0.3774
Hg1 0.0000 0.0000 0.0000
```

Output
DFT total energy: -0.1524 Ha/atom
density of states at the Fermi level: 18.0 states/eV per cell

---

4.
This record from the Alexandria database describes Ti2SbAs after structural relaxation. The functional is PBE-GGA.

The structure in CIF format:
```
data_Ti2SbAs
_space_group_name_H-M_alt 'F m -3 m'
_space_group_IT_number 225
_space_group_name_Hall '-F 4 2 3'
_cell_length_a 6.6287
_cell_length_b 6.6287
_cell_length_c 6.6287
_cell_angle_alpha 90.00
_cell_angle_beta 90.00
_cell_angle_gamma 90.00
loop_
_atom_site_label
_atom_site_fract_x
_atom_site_fract_y
_atom_site_fract_z
Ti1 0.2500 0.2500 0.2500
Sb1 0.0000 0.0000 0.0000
As1 0.0000 0.0000 0.5000
```

Output
DFT total energy: -0.2387 Ha/atom
density of states at the Fermi level: 29.6 states/eV per cell
uncorrected formation energy: -0.35 eV per atom

---

5.
This record from the Alexandria database describes Ac2Tm5Pb4 after structural relaxation. The functional is PBE-GGA.

The structure in CIF format:
```
data_Ac2Tm5Pb4
_space_group_name_H-M_alt 'C 1 2/m 1'
_space_group_IT_number 12
_cell_length_a 26.9300
_cell_length_b 3.6119
_cell_length_c 7.6237
_cell_angle_alpha 90.00
_cell_angle_beta 90.82
_cell_angle_gamma 90.00
loop_
_space_group_symop_operation_xyz
'x,y,z'
'-x,-y,-z'
'-x,y,-z'
'x,-y,z'
'x+1/2,y+1/2,z'
'-x+1/2,-y+1/2,-z'
'-x+1/2,y+1/2,-z'
'x+1/2,-y+1/2,z'
loop_
_atom_site_label
_atom_site_fract_x
_atom_site_fract_y
_atom_site_fract_z
Ac1 0.2340 0.0000 0.2245
Tm1 0.0000 0.5000 0.0000
Tm2 0.0855 0.0000 0.2839
Tm3 0.1364 0.0000 0.8496
Pb1 0.0317 0.0000 0.6708
Pb2 0.1609 0.5000 0.5158
```

Output
DFT total energy: -0.1542 Ha/atom
density of states at the Fermi level: 25.4 states/eV per cell

---

6.
This record from the Alexandria database describes Zr8GaFe2 after structural relaxation. The functional is PBE-GGA.

The structure in CIF format:
```
data_Zr8GaFe2
_space_group_name_H-M_alt 'C 1 2/m 1'
_space_group_IT_number 12
_cell_length_a 7.6487
_cell_length_b 12.3822
_cell_length_c 5.0252
_cell_angle_alpha 90.00
_cell_angle_beta 106.20
_cell_angle_gamma 90.00
loop_
_space_group_symop_operation_xyz
'x,y,z'
'-x,-y,-z'
'-x,y,-z'
'x,-y,z'
'x+1/2,y+1/2,z'
'-x+1/2,-y+1/2,-z'
'-x+1/2,y+1/2,-z'
'x+1/2,-y+1/2,z'
loop_
_atom_site_label
_atom_site_fract_x
_atom_site_fract_y
_atom_site_fract_z
Zr1 0.0000 0.2454 0.0000
Zr2 0.1056 0.5000 0.8232
Zr3 0.2086 0.1215 0.5510
Ga1 0.0000 0.0000 0.0000
Fe1 0.0000 0.2897 0.5000
```

Output
DFT total energy: -0.2973 Ha/atom
density of states at the Fermi level: 21.9 states/eV per cell

---

7.
This record from the Alexandria database describes CsK2UO4 after structural relaxation. The functional is PBE-GGA.

The structure in CIF format:
```
data_CsK2UO4
_space_group_name_H-M_alt 'C 1 2/m 1'
_space_group_IT_number 12
_cell_length_a 12.5639
_cell_length_b 3.6378
_cell_length_c 7.4118
_cell_angle_alpha 90.00
_cell_angle_beta 97.71
_cell_angle_gamma 90.00
loop_
_space_group_symop_operation_xyz
'x,y,z'
'-x,-y,-z'
'-x,y,-z'
'x,-y,z'
'x+1/2,y+1/2,z'
'-x+1/2,-y+1/2,-z'
'-x+1/2,y+1/2,-z'
'x+1/2,-y+1/2,z'
loop_
_atom_site_label
_atom_site_fract_x
_atom_site_fract_y
_atom_site_fract_z
Cs1 0.0000 0.0000 0.0000
K1 0.2456 0.0000 0.7073
U1 0.0000 0.5000 0.5000
O1 0.0929 0.0000 0.4097
O2 0.0984 0.5000 0.7400
```

Output
DFT total energy: -0.2412 Ha/atom
density of states at the Fermi level: 4.2 states/eV per cell
uncorrected formation energy: -2.29 eV per atom

---

8.
This record from the Alexandria database describes ScPt2Cl after structural relaxation. The functional is PBE-GGA.

The structure in CIF format:
```
data_ScPt2Cl
_space_group_name_H-M_alt 'P 4 m m'
_space_group_IT_number 99
_cell_length_a 3.5030
_cell_length_b 3.5030
_cell_length_c 7.6638
_cell_angle_alpha 90.00
_cell_angle_beta 90.00
_cell_angle_gamma 90.00
loop_
_space_group_symop_operation_xyz
'x,y,z'
'-y,x,z'
'-x,-y,z'
'y,-x,z'
'-x,y,z'
'y,x,z'
'x,-y,z'
'-y,-x,z'
loop_
_atom_site_label
_atom_site_fract_x
_atom_site_fract_y
_atom_site_fract_z
Sc1 0.0000 0.0000 0.0000
Pt1 0.0000 0.0000 0.6789
Pt2 0.5000 0.5000 0.7817
Cl1 0.5000 0.5000 0.1987
```

Output
energy relative to the lowest polymorph listed for this composition: 0.1429 eV/atom
DFT total energy: -0.2114 Ha/atom
density of states at the Fermi level: 1.6 states/eV per cell
uncorrected formation energy: -0.69 eV per atom

---

9.
This record from the Alexandria database describes SbTeCl2 after structural relaxation. The functional is PBE-GGA.

The structure in CIF format:
```
data_SbTeCl2
_space_group_name_H-M_alt 'C 1 2/m 1'
_space_group_IT_number 12
_cell_length_a 6.5209
_cell_length_b 9.8627
_cell_length_c 4.5994
_cell_angle_alpha 90.00
_cell_angle_beta 134.47
_cell_angle_gamma 90.00
loop_
_space_group_symop_operation_xyz
'x,y,z'
'-x,-y,-z'
'-x,y,-z'
'x,-y,z'
'x+1/2,y+1/2,z'
'-x+1/2,-y+1/2,-z'
'-x+1/2,y+1/2,-z'
'x+1/2,-y+1/2,z'
loop_
_atom_site_label
_atom_site_fract_x
_atom_site_fract_y
_atom_site_fract_z
Sb1 0.0000 0.0000 0.0000
Te1 0.0000 0.5000 0.0000
Cl1 0.2500 0.2500 0.0000
```

Output
energy relative to the lowest polymorph listed for this composition: 0.4160 eV/atom
DFT total energy: -0.1049 Ha/atom
density of states at the Fermi level: 3.5 states/eV per cell
uncorrected formation energy: -0.11 eV per atom

---

10.
This record from the Alexandria database describes Ac3La7 after structural relaxation. The functional is PBE-GGA.

The structure in CIF format:
```
data_Ac3La7
_space_group_name_H-M_alt 'C 1 2/m 1'
_space_group_IT_number 12
_cell_length_a 19.4142
_cell_length_b 5.3903
_cell_length_c 7.5940
_cell_angle_alpha 90.00
_cell_angle_beta 101.51
_cell_angle_gamma 90.00
loop_
_space_group_symop_operation_xyz
'x,y,z'
'-x,-y,-z'
'-x,y,-z'
'x,-y,z'
'x+1/2,y+1/2,z'
'-x+1/2,-y+1/2,-z'
'-x+1/2,y+1/2,-z'
'x+1/2,-y+1/2,z'
loop_
_atom_site_label
_atom_site_fract_x
_atom_site_fract_y
_atom_site_fract_z
Ac1 0.0000 0.0000 0.0000
Ac2 0.1982 0.0000 0.6023
La1 0.0000 0.0000 0.5000
La2 0.0988 0.5000 0.2994
La3 0.0998 0.5000 0.8021
La4 0.1998 0.0000 0.0986
```

Output
DFT total energy: -0.1716 Ha/atom
density of states at the Fermi level: 37.9 states/eV per cell

---

11.
This record from the Alexandria database describes ReMo2Se after structural relaxation. The functional is PBE-GGA.

The structure in CIF format:
```
data_ReMo2Se
_space_group_name_H-M_alt 'P 4/m m m'
_space_group_IT_number 123
_space_group_name_Hall '-P 4 2'
_cell_length_a 3.7216
_cell_length_b 3.7216
_cell_length_c 4.5734
_cell_angle_alpha 90.00
_cell_angle_beta 90.00
_cell_angle_gamma 90.00
loop_
_atom_site_label
_atom_site_fract_x
_atom_site_fract_y
_atom_site_fract_z
Re1 0.0000 0.0000 0.0000
Mo1 0.0000 0.5000 0.5000
Se1 0.5000 0.5000 0.0000
```

Output
DFT total energy: -0.3206 Ha/atom
density of states at the Fermi level: 4.5 states/eV per cell
uncorrected formation energy: 0.68 eV per atom

---

12.
This record from the Alexandria database describes Rb2ZnAsCl after structural relaxation. The functional is PBE-GGA.

The structure in CIF format:
```
data_Rb2ZnAsCl
_space_group_name_H-M_alt 'P 4/m m m'
_space_group_IT_number 123
_space_group_name_Hall '-P 4 2'
_cell_length_a 6.7000
_cell_length_b 6.7000
_cell_length_c 4.9615
_cell_angle_alpha 90.00
_cell_angle_beta 90.00
_cell_angle_gamma 90.00
loop_
_atom_site_label
_atom_site_fract_x
_atom_site_fract_y
_atom_site_fract_z
Rb1 0.0000 0.5000 0.0000
Zn1 0.0000 0.0000 0.0000
As1 0.5000 0.5000 0.5000
Cl1 0.0000 0.0000 0.5000
```

Output
DFT total energy: -0.0735 Ha/atom
density of states at the Fermi level: 5.9 states/eV per cell
uncorrected formation energy: -0.06 eV per atom